1.
A plane-wave DFT calculation with PBE-GGA was carried out for a relaxed Sr2SiRu crystal.

Values from the calculation:
- SG: No. 38
- D(E_F): 0.475 states/eV per atom
- Raw formation energy: -0.233 eV per atom

Lattice parameters (Å, degrees): 4.1512 6.1712 6.1712 45.30 90.00 90.00
With the nearest neighbours (Å) after each atom.
Sites, in units of the cell vectors:
Sr 0.0000 0.0000 0.0000  2 Ru 3.18, 4 Si 3.32
Sr 0.5000 0.2836 0.2836  3 Si 3.24-3.50, 4 Ru 3.35
Si 0.5000 0.5908 0.5908  2 Ru 2.34
Ru 0.0000 0.6854 0.6854  2 Si 2.34

=====

2.
A plane-wave DFT calculation with PBE-GGA was carried out for a relaxed Sr2SiRu crystal.

Values from the calculation:
- SG: No. 44
- D(E_F): 0.715 states/eV per atom
- Raw formation energy: -0.136 eV per atom

Lattice parameters (Å, degrees): 6.3630 6.3630 6.3630 143.48 133.40 60.61
With the nearest neighbours (Å) after each atom.
Sites, in units of the cell vectors:
Sr 0.0000 0.0000 0.0000  2 Ru 3.18, 4 Si 3.31, 2 Sr 3.46
Sr 0.7164 0.2164 0.5000  4 Ru 3.42, 4 Si 3.42-3.75, 4 Sr 3.46-3.70
Si 0.4272 0.4272 0.0000  2 Ru 2.30
Ru 0.3236 0.8236 0.5000  2 Si 2.30

=====

3.
A plane-wave DFT calculation with PBE-GGA was carried out for a relaxed SrSiRu2 crystal.

Values from the calculation:
- SG: No. 119
- D(E_F): 1.212 states/eV per atom
- Raw formation energy: 0.589 eV per atom

Lattice parameters (Å, degrees): 4.8664 4.8664 4.8664 126.98 126.98 78.28
With the nearest neighbours (Å) after each atom.
Sites, in units of the cell vectors:
Sr 0.0000 0.0000 0.0000  8 Ru 2.88-3.07, 4 Si 2.88
Si 0.7500 0.2500 0.5000  8 Ru 2.88-3.07, 4 Sr 2.88
Ru 0.2500 0.7500 0.5000  4 Ru 2.88, 4 Sr 2.88, 4 Si 3.07
Ru 0.5000 0.5000 0.0000  4 Ru 2.88, 4 Si 2.88, 4 Sr 3.07

=====

4.
A plane-wave DFT calculation with PBE-GGA was carried out for a relaxed Sr2SiRu crystal.

Values from the calculation:
- SG: No. 65
- D(E_F): 0.946 states/eV per atom
- Raw formation energy: 0.379 eV per atom

Lattice parameters (Å, degrees): 5.5543 5.5543 3.3143 90.00 90.00 105.47
With the nearest neighbours (Å) after each atom.
Sites, in units of the cell vectors:
Sr 0.0000 0.5000 0.0000  4 Ru 3.23, 4 Si 3.23, 4 Sr 3.31-3.36
Sr 0.5000 0.0000 0.0000  4 Ru 3.23, 4 Si 3.23, 4 Sr 3.31-3.36
Si 0.0000 0.0000 0.5000  8 Sr 3.23, 2 Si 3.31, 2 Ru 3.36
Ru 0.5000 0.5000 0.5000  8 Sr 3.23, 2 Ru 3.31, 2 Si 3.36

=====

5.
A plane-wave DFT calculation with PBE-GGA was carried out for a relaxed Sr2Si7Ru12 crystal.

Values from the calculation:
- SG: No. 174
- D(E_F): 1.030 states/eV per atom
- Raw formation energy: -0.432 eV per atom

Lattice parameters (Å, degrees): 9.7087 9.7087 3.9786 90.00 90.00 120.00
With the nearest neighbours (Å) after each atom.
Sites, in units of the cell vectors:
Sr 0.0000 0.0000 0.0000  6 Si 3.19, 12 Ru 3.28-3.39
Sr 0.3333 0.6667 0.5000  6 Si 3.14, 9 Ru 3.21-3.31
Si 0.0627 0.4430 0.0000  5 Ru 2.36-2.52
Si 0.2752 0.2334 0.5000  7 Ru 2.45-2.59
Si 0.3803 0.9373 0.0000  5 Ru 2.36-2.52
Si 0.5570 0.6197 0.0000  5 Ru 2.36-2.52
Si 0.6667 0.3333 0.0000  3 Ru 2.29
Si 0.7666 0.0418 0.5000  7 Ru 2.45-2.59
Si 0.9582 0.7248 0.5000  7 Ru 2.45-2.59
Ru 0.0492 0.2893 0.5000  4 Si 2.45-2.59
Ru 0.0973 0.7095 0.0000  4 Si 2.44-2.52, 1 Ru 2.61
Ru 0.2401 0.9508 0.5000  4 Si 2.45-2.59
Ru 0.2905 0.3878 0.0000  4 Si 2.44-2.52, 1 Ru 2.61
Ru 0.3947 0.1869 0.0000  4 Si 2.29-2.46
Ru 0.5590 0.4313 0.5000  5 Si 2.45-2.71
Ru 0.5687 0.1277 0.5000  5 Si 2.45-2.71
Ru 0.6122 0.9027 0.0000  4 Si 2.44-2.52, 1 Ru 2.61
Ru 0.7107 0.7599 0.5000  4 Si 2.45-2.59
Ru 0.7922 0.6053 0.0000  4 Si 2.29-2.46
Ru 0.8131 0.2078 0.0000  4 Si 2.29-2.46
Ru 0.8723 0.4410 0.5000  5 Si 2.45-2.71

=====

6.
A plane-wave DFT calculation with PBE-GGA was carried out for a relaxed SrSiRu2 crystal.

Values from the calculation:
- SG: No. 38
- D(E_F): 0.929 states/eV per atom
- Raw formation energy: 0.091 eV per atom

Lattice parameters (Å, degrees): 4.2571 6.1967 6.1967 28.48 90.00 90.00
With the nearest neighbours (Å) after each atom.
Sites, in units of the cell vectors:
Sr 0.0000 0.0000 0.0000  1 Ru 2.99, 2 Sr 3.05, 4 Si 3.19
Si 0.5000 0.3477 0.3477  4 Ru 2.41-2.44
Ru 0.0000 0.2490 0.2490  2 Si 2.44, 4 Ru 2.70
Ru 0.5000 0.6928 0.6928  2 Si 2.41

=====

7.
A plane-wave DFT calculation with PBE-GGA was carried out for a relaxed Sr2SiRu crystal.

Values from the calculation:
- SG: No. 99
- D(E_F): 0.788 states/eV per atom
- Raw formation energy: -0.097 eV per atom

Lattice parameters (Å, degrees): 3.3663 3.3663 9.0937 90.00 90.00 90.00
With the nearest neighbours (Å) after each atom.
Sites, in units of the cell vectors:
Sr 0.0000 0.0000 0.0000  1 Ru 3.12, 4 Si 3.24, 4 Sr 3.37
Sr 0.5000 0.5000 0.4115  1 Si 3.16, 4 Ru 3.26, 4 Sr 3.37
Si 0.5000 0.5000 0.7587  4 Ru 2.55
Ru 0.0000 0.0000 0.6570  4 Si 2.55

=====

8.
A plane-wave DFT calculation with PBE-GGA was carried out for a relaxed SrSiRu2 crystal.

Values from the calculation:
- SG: No. 12
- D(E_F): 0.735 states/eV per atom
- Raw formation energy: 0.051 eV per atom

Lattice parameters (Å, degrees): 4.5055 4.5055 5.9979 104.62 104.62 40.69
With the nearest neighbours (Å) after each atom.
Sites, in units of the cell vectors:
Sr 0.0000 0.0000 0.0000  6 Ru 3.09-3.14, 2 Sr 3.13, 4 Si 3.38
Si 0.5000 0.5000 0.5000  4 Ru 2.38
Ru 0.2138 0.2138 0.6553  2 Si 2.38, 2 Ru 2.63
Ru 0.7862 0.7862 0.3447  2 Si 2.38, 2 Ru 2.63